[1]
Y2CrSbO7 | SCAN | PBEsol geometry

```
Y2CrSbO7
1.0
7.154 0.000 0.000
3.577 6.216 -0.004
3.577 2.014 5.881
O Sb Y Cr
14 2 4 2
Direct
0.919 0.913 0.834 O
0.081 0.666 0.587 O
0.373 0.377 0.877 O
0.916 0.334 0.834 O
0.084 0.666 0.166 O
0.662 0.088 0.588 O
0.666 0.087 0.166 O
0.627 0.623 0.123 O
0.081 0.087 0.166 O
0.334 0.913 0.834 O
0.919 0.334 0.413 O
0.666 0.666 0.587 O
0.334 0.334 0.413 O
0.338 0.912 0.412 O
0.000 0.500 0.500 Sb
0.000 0.000 0.000 Sb
0.500 0.500 0.000 Y
0.000 0.500 0.000 Y
0.500 0.500 0.500 Y
0.500 0.000 0.000 Y
0.500 0.000 0.500 Cr
0.000 0.000 0.500 Cr
```

Computed properties:
As for the size of the total moment: 3.0 μB/f.u. The uncorrected formation energy comes out at -2.97 eV per atom.

[2]
CaLaMoPd2 | SCAN | PBEsol geometry

```
CaLaMoPd2
1.0
4.695 0.000 0.000
0.000 4.695 0.000
0.000 0.000 5.364
Mo Ca Pd La
1 1 2 1
Direct
0.500 0.500 0.500 Mo
0.000 0.000 0.000 Ca
0.500 0.000 0.000 Pd
0.000 0.500 0.000 Pd
0.000 0.000 0.500 La
```

Computed properties:
The energy relative to the lowest polymorph listed for this composition comes out at 0.823 eV per atom. For the formation energy, the calculation gives 1.23 eV per atom. As for the size of the total moment: 3.0 μB/f.u.

[3]
ZrCoSb2 | SCAN | PBEsol geometry

```
ZrCoSb2
1.0
3.123 0.000 0.000
0.000 3.123 0.000
0.000 0.000 8.439
Sb Co Zr
2 1 1
Direct
0.000 0.000 0.919 Sb
0.500 0.500 0.288 Sb
0.500 0.500 0.741 Co
0.000 0.000 0.552 Zr
```

Computed properties:
As for the size of the total moment: 1.1 μB/f.u. The uncorrected formation energy comes out at -0.20 eV per atom.